(1)
# ZrNiSe2 (GGA-PBEsol, relaxed)
# Total moment   0.00 μB/atom
# Uncorrected formation energy   -0.656 eV per atom
# Raw total energy   -6.39 eV/atom
# Calculated volume   64.76 Å³/cell
data_ZrNiSe2
_cell_length_a 4.3932
_cell_length_b 4.3932
_cell_length_c 3.3552
_cell_angle_alpha 90.00
_cell_angle_beta 90.00
_cell_angle_gamma 90.00
_symmetry_space_group_name_H-M 'P 4/m m m'
_symmetry_Int_Tables_number 123
_symmetry_space_group_name_Hall '-P 4 2'
loop_
_atom_site_label
_atom_site_fract_x
_atom_site_fract_y
_atom_site_fract_z
_atom_site_occupancy
Zr1 0.0000 0.0000 0.0000 1
Ni1 0.5000 0.5000 0.0000 1
Se1 0.0000 0.5000 0.5000 1

=====

(2)
# Zr2NiSe4 (GGA-PBEsol, relaxed)
# Total moment   0.00 μB/atom
# Uncorrected formation energy   -1.133 eV per atom
# Raw total energy   -6.81 eV/atom
# Calculated volume   276.32 Å³/cell
data_Zr2NiSe4
_cell_length_a 13.5355
_cell_length_b 3.6573
_cell_length_c 6.3076
_cell_angle_alpha 90.00
_cell_angle_beta 117.76
_cell_angle_gamma 90.00
_symmetry_space_group_name_H-M 'C 1 2/m 1'
_symmetry_Int_Tables_number 12
_symmetry_space_group_name_Hall '-C 2y'
loop_
_atom_site_label
_atom_site_fract_x
_atom_site_fract_y
_atom_site_fract_z
_atom_site_occupancy
Zr1 0.2475 0.0000 0.2522 1
Ni1 0.0000 0.5000 0.5000 1
Se1 0.1104 0.5000 0.2789 1
Se2 0.1118 0.0000 0.7780 1

=====

(3)
# ZrNiSe2 (GGA-PBEsol, relaxed)
# Total moment   0.00 μB/atom
# Uncorrected formation energy   -0.983 eV per atom
# Raw total energy   -6.72 eV/atom
# Calculated volume   140.89 Å³/cell
data_ZrNiSe2
_cell_length_a 3.5083
_cell_length_b 3.5499
_cell_length_c 11.3129
_cell_angle_alpha 90.00
_cell_angle_beta 90.00
_cell_angle_gamma 90.00
_symmetry_space_group_name_H-M 'A m m 2'
_symmetry_Int_Tables_number 38
_symmetry_space_group_name_Hall 'A 2 -2'
loop_
_atom_site_label
_atom_site_fract_x
_atom_site_fract_y
_atom_site_fract_z
_atom_site_occupancy
Zr1 0.0000 0.0000 0.0000 1
Ni1 0.5000 0.0000 0.1855 1
Se1 0.0000 0.0000 0.6800 1
Se2 0.5000 0.0000 0.4006 1

=====

(4)
# SiNi4 (GGA-PBEsol, relaxed)
# Total moment   0.00 μB/atom
# Uncorrected formation energy   -0.379 eV per atom
# Raw total energy   -6.45 eV/atom
# Calculated volume   103.55 Å³/cell
data_SiNi4
_cell_length_a 5.4181
_cell_length_b 5.4181
_cell_length_c 3.5274
_cell_angle_alpha 90.00
_cell_angle_beta 90.00
_cell_angle_gamma 90.00
_symmetry_space_group_name_H-M 'I 4/m'
_symmetry_Int_Tables_number 87
_symmetry_space_group_name_Hall '-I 4'
loop_
_atom_site_label
_atom_site_fract_x
_atom_site_fract_y
_atom_site_fract_z
_atom_site_occupancy
Si1 0.0000 0.0000 0.0000 1
Ni1 0.1025 0.3006 0.5000 1

=====

(5)
# Si2Ni3 (GGA-PBEsol, relaxed)
# Total moment   0.00 μB/atom
# Uncorrected formation energy   -0.610 eV per atom
# Raw total energy   -6.60 eV/atom
# Calculated volume   884.64 Å³/cell
data_Si2Ni3
_cell_length_a 12.0828
_cell_length_b 10.6896
_cell_length_c 6.8492
_cell_angle_alpha 90.00
_cell_angle_beta 90.00
_cell_angle_gamma 90.00
_symmetry_space_group_name_H-M 'C m c m'
_symmetry_Int_Tables_number 63
_symmetry_space_group_name_Hall '-C 2c 2'
loop_
_atom_site_label
_atom_site_fract_x
_atom_site_fract_y
_atom_site_fract_z
_atom_site_occupancy
Si1 0.0000 0.0923 0.2500 1
Si2 0.0000 0.3433 0.7500 1
Si3 0.1190 0.4425 0.2500 1
Si4 0.1518 0.1580 0.5423 1
Ni1 0.0000 0.1168 0.7500 1
Ni2 0.0000 0.2657 0.0624 1
Ni3 0.0000 0.5000 0.0000 1
Ni4 0.1720 0.3814 0.5610 1
Ni5 0.1809 0.0053 0.2500 1
Ni6 0.1969 0.2526 0.2500 1

=====

(6)
# SiNi5 (GGA-PBEsol, relaxed)
# Total moment   0.04 μB/atom
# Uncorrected formation energy   -0.264 eV per atom
# Raw total energy   -6.35 eV/atom
# Calculated volume   124.69 Å³/cell
data_SiNi5
_cell_length_a 9.0567
_cell_length_b 2.5406
_cell_length_c 5.6532
_cell_angle_alpha 90.00
_cell_angle_beta 106.54
_cell_angle_gamma 90.00
_symmetry_space_group_name_H-M 'C 1 m 1'
_symmetry_Int_Tables_number 8
_symmetry_space_group_name_Hall 'C -2y'
loop_
_atom_site_label
_atom_site_fract_x
_atom_site_fract_y
_atom_site_fract_z
_atom_site_occupancy
Si1 0.0000 0.0000 0.0000 1
Ni1 0.1169 0.5000 0.7531 1
Ni2 0.1639 0.5000 0.3210 1
Ni3 0.2983 0.0000 0.0759 1
Ni4 0.3343 0.0000 0.6691 1
Ni5 0.4583 0.5000 0.4136 1

=====

> The lowest uncorrected formation energy belongs to which entry?

Zr2NiSe4